Material: Co4HgIr
Method: DFT, PBE-GGA
State: optimized geometry

extended XYZ file:
```
6
Lattice="0.0000 3.4048 3.4048 3.4048 0.0000 3.4048 3.4048 3.4048 0.0000" Properties=species:S:1:pos:R:3 pbc="T T T"
Co 0.8529 0.8529 0.8529
Co 2.5520 2.5520 0.8529
Co 2.5520 0.8529 2.5520
Co 0.8529 2.5520 2.5520
Hg 5.1073 5.1073 5.1073
Ir 3.4048 3.4048 3.4048
```

Material: Co2HgIr
Method: DFT, PBE-GGA
State: optimized geometry

extended XYZ file:
```
4
Lattice="4.3618 -1.4208 0.0000 4.3618 1.4208 0.0000 -0.9156 0.0000 4.8063" Properties=species:S:1:pos:R:3 pbc="T T T"
Co 1.9241 0.0000 0.9572
Co 5.8839 0.0000 3.8490
Hg -0.4578 0.0000 2.4031
Ir 4.3618 0.0000 0.0000
```

Material: CoHgIr2
Method: DFT, PBE-GGA
State: optimized geometry

extended XYZ file:
```
4
Lattice="1.3833 -2.4162 0.0000 1.3833 2.4162 0.0000 0.0000 0.0000 9.3694" Properties=species:S:1:pos:R:3 pbc="T T T"
Co 0.0000 0.0000 0.0000
Hg 1.3833 0.0000 2.4123
Ir 0.0000 0.0000 4.9896
Ir 1.3833 0.0000 7.2844
```

Material: CoHgIr2
Method: DFT, PBE-GGA
State: optimized geometry

extended XYZ file:
```
4
Lattice="3.9270 0.0000 0.0000 0.0000 3.9270 0.0000 0.0000 0.0000 3.9795" Properties=species:S:1:pos:R:3 pbc="T T T"
Co 0.0000 0.0000 0.0000
Hg 1.9635 1.9635 0.0000
Ir 0.0000 1.9635 1.9898
Ir 1.9635 0.0000 1.9898
```

Material: Co2HgIr
Method: DFT, PBE-GGA
State: optimized geometry

extended XYZ file:
```
4
Lattice="2.7911 0.0000 0.0000 0.0000 4.0584 0.0000 -1.3835 0.0000 5.1123" Properties=species:S:1:pos:R:3 pbc="T T T"
Co 0.0000 0.0000 0.0000
Co 0.0065 2.0292 1.2160
Hg 1.4023 0.0000 2.4550
Ir 0.0138 2.0292 4.1187
```

4
Lattice="-2.0831 2.0831 3.8953 2.0831 -2.0831 3.8953 2.0831 2.0831 -3.8953" Properties=species:S:1:pos:R:3 comment="CoHg2Ir PBE-GGA optimized geometry" de_polymorph_mev_per_atom=253 pbc="T T T"
Co 0.0000 0.0000 0.0000
Hg 2.0831 0.0000 1.9477
Hg 0.0000 2.0831 1.9477
Ir 0.0000 0.0000 3.8953

Material: Co2HgIr
Method: DFT, PBE-GGA
State: optimized geometry

extended XYZ file:
```
4
Lattice="1.4238 -2.3392 0.0000 1.4238 2.3392 0.0000 0.0000 0.0000 8.9759" Properties=species:S:1:pos:R:3 pbc="T T T"
Co 0.0000 0.0000 0.0000
Co 1.4238 0.0000 1.8596
Hg 0.0000 0.0000 4.2774
Ir 1.4238 0.0000 6.8867
```

Material: CoHgIr2
Method: DFT, PBE-GGA
State: optimized geometry

extended XYZ file:
```
4
Lattice="2.7746 0.0000 0.0000 0.0000 3.4468 0.0000 0.0000 0.0000 6.4733" Properties=species:S:1:pos:R:3 pbc="T T T"
Co 0.0000 0.0000 0.0000
Hg 0.0000 0.0000 3.2366
Ir 1.3873 1.7234 1.3115
Ir 1.3873 1.7234 5.1618
```

Material: CoHgIr2
Method: DFT, PBE-GGA
State: optimized geometry

extended XYZ file:
```
4
Lattice="2.7538 -3.9639 0.0000 2.7538 3.9639 0.0000 0.0000 0.0000 2.8210" Properties=species:S:1:pos:R:3 pbc="T T T"
Co 0.0000 0.0000 0.0000
Hg 2.7538 0.0000 0.0000
Ir 1.3769 1.9819 1.4105
Ir 1.3769 -1.9819 1.4105
```

Material: Co2HgIr
Method: DFT, PBE-GGA
State: optimized geometry

extended XYZ file:
```
4
Lattice="1.3853 0.7998 8.8397 -1.3853 0.7998 8.8397 0.0000 -1.5997 8.8397" Properties=species:S:1:pos:R:3 pbc="T T T"
Co 0.0000 0.0000 0.0000
Co 0.0000 0.0000 6.9936
Hg 0.0000 0.0000 13.4582
Ir 0.0000 0.0000 19.7084
```

4
Lattice="3.1372 0.0000 0.0000 0.0000 3.1372 0.0000 0.0000 0.0000 6.7760" Properties=species:S:1:pos:R:3 comment="CoHg2Ir PBE-GGA optimized geometry" de_polymorph_mev_per_atom=255 pbc="T T T"
Co 0.0000 0.0000 0.0000
Hg 1.5686 1.5686 1.6106
Hg 1.5686 1.5686 5.1655
Ir 0.0000 0.0000 3.3880

4
Lattice="-2.0301 2.0301 4.1000 2.0301 -2.0301 4.1000 2.0301 2.0301 -4.1000" Properties=species:S:1:pos:R:3 comment="CoHg2Ir PBE-GGA optimized geometry" de_polymorph_mev_per_atom=254 pbc="T T T"
Co 0.0000 0.0000 0.0000
Hg 2.0301 0.0000 2.0500
Hg 0.0000 0.0000 4.1000
Ir 0.0000 2.0301 2.0500

Material: CoHgIr2
Method: DFT, PBE-GGA
State: optimized geometry

extended XYZ file:
```
4
Lattice="1.4007 0.8087 9.0037 -1.4007 0.8087 9.0037 0.0000 -1.6174 9.0037" Properties=species:S:1:pos:R:3 pbc="T T T"
Co 0.0000 0.0000 0.0000
Hg 0.0000 0.0000 6.6844
Ir 0.0000 0.0000 13.1608
Ir 0.0000 0.0000 19.9893
```

Material: Co2HgIr
Method: DFT, PBE-GGA
State: optimized geometry

extended XYZ file:
```
4
Lattice="4.5948 -1.4013 0.0000 4.5948 1.4013 0.0000 -1.2086 0.0000 4.4473" Properties=species:S:1:pos:R:3 pbc="T T T"
Co 0.0000 0.0000 0.0000
Co 6.2965 0.0000 1.1425
Hg 3.8330 0.0000 2.1811
Ir 1.3669 0.0000 3.6042
```

Material: Co2HgIr
Method: DFT, PBE-GGA
State: optimized geometry

extended XYZ file:
```
4
Lattice="2.7465 0.0000 0.0000 0.0000 3.6317 0.0000 0.0000 0.0000 5.7802" Properties=species:S:1:pos:R:3 pbc="T T T"
Co 0.0000 0.0000 1.2206
Co 0.0000 0.0000 4.5596
Hg 1.3733 1.8158 2.8901
Ir 1.3733 1.8158 0.0000
```

4
Lattice="1.4826 0.8560 8.9079 -1.4826 0.8560 8.9079 0.0000 -1.7120 8.9079" Properties=species:S:1:pos:R:3 comment="CoHg2Ir PBE-GGA optimized geometry" de_polymorph_mev_per_atom=237 pbc="T T T"
Co 0.0000 0.0000 0.0000
Hg 0.0000 0.0000 6.7718
Hg 0.0000 0.0000 19.9518
Ir 0.0000 0.0000 13.3618

8
Lattice="-3.6829 3.6829 2.7249 3.6829 -3.6829 2.7249 3.6829 3.6829 -2.7249" Properties=species:S:1:pos:R:3 comment="CoHg2Ir PBE-GGA optimized geometry" de_polymorph_mev_per_atom=512 pbc="T T T"
Co 0.0000 0.0000 0.0000
Co 0.0000 3.6829 1.3625
Hg 1.8415 1.7405 -0.6812
Hg 1.9425 -1.8415 3.4061
Hg 1.8415 1.9425 2.0437
Hg 1.7405 5.5244 0.6812
Ir 3.6829 0.0000 1.3625
Ir 0.0000 0.0000 2.7249

4
Lattice="2.9457 -3.7727 0.0000 2.9457 3.7727 0.0000 0.0000 0.0000 3.0424" Properties=species:S:1:pos:R:3 comment="CoHg2Ir PBE-GGA optimized geometry" de_polymorph_mev_per_atom=252 pbc="T T T"
Co 0.0000 0.0000 0.0000
Hg 1.4728 1.8863 1.5212
Hg 1.4728 -1.8863 1.5212
Ir 2.9457 0.0000 0.0000

4
Lattice="1.4942 -2.4710 0.0000 1.4942 2.4710 0.0000 0.0000 0.0000 9.2799" Properties=species:S:1:pos:R:3 comment="CoHg2Ir PBE-GGA optimized geometry" de_polymorph_mev_per_atom=286 pbc="T T T"
Co 0.0000 0.0000 0.0000
Hg 1.4942 0.0000 2.2345
Hg 1.4942 0.0000 7.0454
Ir 0.0000 0.0000 4.6400

Material: CoHgIr2
Method: DFT, PBE-GGA
State: optimized geometry

extended XYZ file:
```
4
Lattice="-1.9702 1.9702 3.8761 1.9702 -1.9702 3.8761 1.9702 1.9702 -3.8761" Properties=species:S:1:pos:R:3 pbc="T T T"
Co 0.0000 0.0000 0.0000
Hg 1.9702 0.0000 1.9380
Ir 0.0000 0.0000 3.8761
Ir 0.0000 1.9702 1.9380
```

Number 1: formation energy 166 kJ/mol of formula units. Number 2: formation energy 158 kJ/mol of formula units. Number 3: formation energy 196 kJ/mol of formula units. Number 4: formation energy 216 kJ/mol of formula units. Number 5: formation energy 144 kJ/mol of formula units. Number 6: formation energy 224 kJ/mol of formula units. Number 7: formation energy 187 kJ/mol of formula units. Number 8: formation energy 163 kJ/mol of formula units. Number 9: formation energy 223 kJ/mol of formula units. Number 10: formation energy 147 kJ/mol of formula units. Number 11: formation energy 225 kJ/mol of formula units. Number 12: formation energy 224 kJ/mol of formula units. Number 13: formation energy 135 kJ/mol of formula units. Number 14: formation energy 144 kJ/mol of formula units. Number 15: formation energy 123 kJ/mol of formula units. Number 16: formation energy 218 kJ/mol of formula units. Number 17: formation energy 324 kJ/mol of formula units. Number 18: formation energy 223 kJ/mol of formula units. Number 19: formation energy 236 kJ/mol of formula units. Number 20: formation energy 190 kJ/mol of formula units.